Record 1
DFT (GGA-PBE) results for a geometry-optimized NaTl2NiB structure.

```
NaTl2NiB
1.0
5.2245 0.0000 0.0000
0.0000 3.9215 0.0000
0.0000 0.0000 5.2245
Ni Tl B Na
1 2 1 1
Cartesian
0.0000 0.0000 0.0000 Ni
0.0000 0.0000 2.6123 Tl
2.6123 0.0000 0.0000 Tl
0.0000 1.9608 0.0000 B
2.6123 1.9608 2.6123 Na
```

Computed properties:
* formation energy from the elements: 0.394 eV/atom
* total DFT energy (no corrections): -3.308 eV/atom

=====

Record 2
DFT (GGA-PBE) results for a geometry-optimized LiB2SeO6 structure.

```
LiB2SeO6
1.0
4.6494 -0.1629 -0.1691
1.2873 6.0225 0.1178
1.2873 -0.1055 6.0227
Li B Se O
2 4 2 12
Cartesian
2.4497 5.4391 0.5984 Li
4.7744 0.3149 5.3730 Li
2.9221 4.6487 3.7925 B
1.9772 2.2179 1.2699 B
4.3019 1.1053 2.1789 B
5.2468 3.5361 4.7015 B
2.4497 1.4897 4.4041 Se
4.7744 4.2644 1.5674 Se
2.9916 5.8819 4.7381 O
1.9078 1.3187 0.0025 O
4.2325 -0.1278 1.2333 O
5.3162 4.4354 5.9689 O
3.3002 5.0552 2.4473 O
1.5992 3.5773 0.9135 O
3.9239 0.6989 3.5241 O
5.6249 2.1768 5.0579 O
6.1314 4.0797 3.6606 O
3.4174 2.1657 1.6743 O
1.0927 1.6744 2.3108 O
3.8067 3.5883 4.2971 O
```

Computed properties:
* total DFT energy (no corrections): -6.436 eV/atom

=====

Record 3
DFT (GGA-PBE) results for a geometry-optimized VPdRu3 structure.

```
VPdRu3
1.0
4.4230 0.0000 0.0000
0.0000 4.4230 0.0000
0.0000 0.0000 4.4230
Ru Pd V
3 1 1
Cartesian
0.0000 2.2115 0.0000 Ru
0.0000 0.0000 2.2115 Ru
2.2115 0.0000 0.0000 Ru
2.2115 2.2115 2.2115 Pd
0.0000 0.0000 0.0000 V
```

Computed properties:
* formation energy from the elements: 1.142 eV/atom
* energy relative to the lowest polymorph listed for this composition: 0 meV per atom
* total DFT energy (no corrections): -7.285 eV/atom

=====

Record 4
DFT (GGA-PBE) results for a geometry-optimized Na2LiMgAg structure.

```
Na2LiMgAg
1.0
5.5403 0.0000 0.0000
0.0000 5.3056 0.0000
0.0000 0.0000 5.5403
Na Mg Ag Li
2 1 1 1
Cartesian
0.0000 0.0000 2.7701 Na
2.7701 0.0000 0.0000 Na
0.0000 2.6528 0.0000 Mg
0.0000 0.0000 0.0000 Ag
2.7701 2.6528 2.7701 Li
```

Computed properties:
* formation energy from the elements: 0.184 eV/atom
* total DFT energy (no corrections): -1.616 eV/atom

=====

Record 5
DFT (GGA-PBE) results for a geometry-optimized PmTm5In6 structure.

```
PmTm5In6
1.0
1.2309 2.6321 4.4216
0.6110 -6.4682 3.6810
8.3112 0.9484 0.2873
Tm Pm In
5 1 6
Cartesian
6.7113 -0.8492 4.9687 Tm
3.1946 1.1929 1.5662 Tm
0.3055 -3.2341 1.8405 Tm
6.3475 2.3877 3.1428 Tm
3.4418 -2.0385 3.4212 Tm
0.0000 0.0000 0.0000 Pm
4.2949 -2.3099 6.5111 In
3.9958 0.8567 4.7089 In
0.7708 -0.3281 3.1466 In
1.0711 -3.5080 4.9560 In
6.1573 -3.7443 3.6810 In
5.8581 -0.5778 1.8788 In
```

Computed properties:
* formation energy from the elements: -0.435 eV/atom
* total DFT energy (no corrections): -4.063 eV/atom

=====

Record 6
DFT (GGA-PBE) results for a geometry-optimized Ba2LiCa structure.

```
Ba2LiCa
1.0
6.3617 0.0000 0.0000
3.1808 5.5094 0.0000
3.1808 1.8365 5.1943
Ba Ca Li
2 1 1
Cartesian
0.0000 0.0000 0.0000 Ba
3.1808 1.8365 1.2986 Ba
6.3617 3.6729 2.5972 Ca
9.5425 5.5094 3.8957 Li
```

Computed properties:
* formation energy from the elements: 0.114 eV/atom
* energy relative to the lowest polymorph listed for this composition: 82 meV per atom
* total DFT energy (no corrections): -1.826 eV/atom

=====

Record 7
DFT (GGA-PBE) results for a geometry-optimized YRe2Te structure.

```
YRe2Te
1.0
4.9571 0.0000 0.0000
0.0000 3.9751 0.0000
0.0000 0.0000 3.9751
Re Te Y
2 1 1
Cartesian
0.0000 0.0000 0.0000 Re
0.0000 1.9875 1.9875 Re
2.4785 1.9875 0.0000 Te
2.4785 0.0000 1.9875 Y
```

Computed properties:
* total DFT energy (no corrections): -8.125 eV/atom

=====

Record 8
DFT (GGA-PBE) results for a geometry-optimized BaC3Br structure.

```
BaC3Br
1.0
5.2641 0.0000 0.0000
0.0000 5.2641 0.0000
0.0000 0.0000 5.2641
C Ba Br
3 1 1
Cartesian
0.0000 2.6320 0.0000 C
0.0000 0.0000 2.6320 C
2.6320 0.0000 0.0000 C
0.0000 0.0000 0.0000 Ba
2.6320 2.6320 2.6320 Br
```

Computed properties:
* energy relative to the lowest polymorph listed for this composition: 833 meV per atom
* total DFT energy (no corrections): -2.736 eV/atom